The following is a SCAN calculation of Ga3Te9Pd32 at its PBEsol-relaxed geometry, from Alexandria.

Raw formation energy in kJ/mol of formula units: -1685

Structure (CIF):
```
data_Ga3Te9Pd32
_chemical_formula_sum 'Ga9 Te27 Pd96'
_symmetry_space_group_name_H-M 'R 3'
_symmetry_Int_Tables_number 146
_symmetry_space_group_name_Hall 'R 3'
_cell_length_a 7.5744
_cell_length_b 7.5744
_cell_length_c 42.5310
_cell_angle_alpha 90.00
_cell_angle_beta 90.00
_cell_angle_gamma 120.00
loop_
_atom_site_label
_atom_site_fract_x
_atom_site_fract_y
_atom_site_fract_z
Ga1 0.0000 0.0000 0.0000
Ga2 0.0000 0.0000 0.1583
Ga3 0.0000 0.0000 0.6566
Te1 0.0000 0.0000 0.3149
Te2 0.0000 0.0000 0.4996
Te3 0.0000 0.0000 0.8150
Te4 0.0133 0.3452 0.0730
Te5 0.0169 0.6676 0.5750
Pd1 0.0000 0.0000 0.0966
Pd2 0.0000 0.0000 0.2199
Pd3 0.0000 0.0000 0.3754
Pd4 0.0000 0.0000 0.4390
Pd5 0.0000 0.0000 0.5957
Pd6 0.0000 0.0000 0.7176
Pd7 0.0000 0.0000 0.8758
Pd8 0.0000 0.0000 0.9411
Pd9 0.9997 0.3616 0.0074
Pd10 0.0015 0.7387 0.7722
Pd11 0.0050 0.3728 0.8059
Pd12 0.0059 0.2714 0.2729
Pd13 0.0345 0.6964 0.6411
Pd14 0.0366 0.7015 0.8418
Pd15 0.0709 0.4000 0.2083
Pd16 0.0818 0.6699 0.7075
```